1.
Here is LiP after structural relaxation from Alexandria. Energies are from PBE-GGA.

Calculated values
Excess energy over the best structure of this formula in the dataset ... 332 meV/atom
Magnetization ... 0.0 μB per formula unit
V ... 23.18 A^3/atom
DOS(E_F) ... 0.538 states/eV/atom
Raw total energy ... -3.85 eV per atom
ΔH_f (0 K) ... -189 meV/atom

a b c (Å): 7.051 7.051 3.729
angles (deg): 90.00 90.00 90.00
Atoms (fractional coordinates):
Li (0.266, 0.734, 0.000)
Li (0.766, 0.766, 0.500)
Li (0.234, 0.234, 0.500)
Li (0.734, 0.266, 0.000)
P (0.398, 0.398, 0.000)
P (0.898, 0.102, 0.500)
P (0.102, 0.898, 0.500)
P (0.602, 0.602, 0.000)

=====

2.
Here is Li3P4 after structural relaxation from Alexandria. Energies are from PBE-GGA.

Calculated values
Excess energy over the best structure of this formula in the dataset ... 0 meV/atom
Magnetization ... 0.0 μB per formula unit
V ... 15.19 A^3/atom
DOS(E_F) ... 0.119 states/eV/atom
Raw total energy ... -4.07 eV per atom
ΔH_f (0 K) ... -161 meV/atom

a b c (Å): 9.880 9.880 9.880
angles (deg): 160.61 160.61 27.56
Atoms (fractional coordinates):
Li (0.000, 0.000, 0.000)
Li (0.720, 0.720, 0.000)
Li (0.280, 0.280, 0.000)
P (0.859, 0.859, 0.000)
P (0.141, 0.141, 0.000)
P (0.600, 0.600, 0.000)
P (0.400, 0.400, 0.000)

=====

3.
Here is Li2P after structural relaxation from Alexandria. Energies are from PBE-GGA.

Calculated values
Excess energy over the best structure of this formula in the dataset ... 615 meV/atom
Magnetization ... 0.0 μB per formula unit
V ... 13.79 A^3/atom
DOS(E_F) ... 0.652 states/eV/atom
Raw total energy ... -3.03 eV per atom
ΔH_f (0 K) ... 45 meV/atom

a b c (Å): 4.892 4.892 4.892
angles (deg): 60.00 60.00 60.00
Atoms (fractional coordinates):
Li (0.625, 0.125, 0.125)
Li (0.125, 0.625, 0.125)
Li (0.125, 0.125, 0.625)
Li (0.125, 0.125, 0.125)
P (0.500, 0.500, 0.500)
P (0.750, 0.750, 0.750)

=====

4.
Here is LiP after structural relaxation from Alexandria. Energies are from PBE-GGA.

Calculated values
Excess energy over the best structure of this formula in the dataset ... 277 meV/atom
Magnetization ... 0.0 μB per formula unit
V ... 13.84 A^3/atom
DOS(E_F) ... 0.139 states/eV/atom
Raw total energy ... -3.91 eV per atom
ΔH_f (0 K) ... -244 meV/atom

a b c (Å): 2.791 2.791 4.103
angles (deg): 90.00 90.00 120.00
Atoms (fractional coordinates):
Li (0.000, 0.000, 0.000)
P (0.667, 0.333, 0.500)